Record 1
Density functional theory data (PBE) for a relaxed structure of PrPuHgRh.

Cell lengths 7.320, 7.320, 7.320 Å; angles 90.00, 90.00, 90.00 degrees
Fractional positions:
Pr (0.000, 0.000, 0.000)
Pr (0.000, 0.500, 0.500)
Pr (0.500, 0.000, 0.500)
Pr (0.500, 0.500, 0.000)
Pu (0.000, 0.000, 0.500)
Pu (0.000, 0.500, 0.000)
Pu (0.500, 0.000, 0.000)
Pu (0.500, 0.500, 0.500)
Hg (0.250, 0.250, 0.250)
Hg (0.250, 0.750, 0.750)
Hg (0.750, 0.250, 0.750)
Hg (0.750, 0.750, 0.250)
Rh (0.250, 0.250, 0.750)
Rh (0.250, 0.750, 0.250)
Rh (0.750, 0.250, 0.250)
Rh (0.750, 0.750, 0.750)

Results
E_tot in eV/atom: -6.99
Energy of formation from the pure elements in eV/atom: -0.294

Record 2
Density functional theory data (PBE) for a relaxed structure of Sc2Be2InPt5.

Cell lengths 9.396, 9.396, 3.518 Å; angles 90.00, 90.00, 90.00 degrees
Fractional positions:
Sc (0.176, 0.324, 0.000)
Sc (0.324, 0.824, 0.000)
Sc (0.676, 0.176, 0.000)
Sc (0.824, 0.676, 0.000)
Be (0.120, 0.620, 0.000)
Be (0.380, 0.120, 0.000)
Be (0.620, 0.880, 0.000)
Be (0.880, 0.380, 0.000)
In (0.000, 0.000, 0.000)
In (0.500, 0.500, 0.000)
Pt (0.000, 0.500, 0.500)
Pt (0.072, 0.783, 0.500)
Pt (0.217, 0.072, 0.500)
Pt (0.283, 0.572, 0.500)
Pt (0.428, 0.283, 0.500)
Pt (0.500, 0.000, 0.500)
Pt (0.572, 0.717, 0.500)
Pt (0.717, 0.428, 0.500)
Pt (0.783, 0.928, 0.500)
Pt (0.928, 0.217, 0.500)

Results
E_tot in eV/atom: -6.25
Energy of formation from the pure elements in eV/atom: -0.945

Record 3
Density functional theory data (PBE) for a relaxed structure of Dy6Y8Mg.

Cell lengths 9.490, 9.490, 6.173 Å; angles 90.00, 90.00, 120.00 degrees
Fractional positions:
Dy (0.092, 0.635, 0.308)
Dy (0.365, 0.457, 0.308)
Dy (0.457, 0.092, 0.692)
Dy (0.543, 0.908, 0.308)
Dy (0.635, 0.543, 0.692)
Dy (0.908, 0.365, 0.692)
Y (0.038, 0.771, 0.806)
Y (0.229, 0.267, 0.806)
Y (0.267, 0.038, 0.194)
Y (0.333, 0.667, 0.809)
Y (0.667, 0.333, 0.191)
Y (0.733, 0.962, 0.806)
Y (0.771, 0.733, 0.194)
Y (0.962, 0.229, 0.194)
Mg (0.000, 0.000, 0.500)

Results
E_tot in eV/atom: -5.25
Energy of formation from the pure elements in eV/atom: 0.140

Record 4
Density functional theory data (PBE) for a relaxed structure of ZnFe2Os2.

Cell lengths 7.223, 7.223, 2.618 Å; angles 90.00, 90.00, 90.00 degrees
Fractional positions:
Zn (0.000, 0.000, 0.000)
Zn (0.500, 0.500, 0.000)
Fe (0.164, 0.336, 0.500)
Fe (0.336, 0.836, 0.500)
Fe (0.664, 0.164, 0.500)
Fe (0.836, 0.664, 0.500)
Os (0.128, 0.628, 0.000)
Os (0.372, 0.128, 0.000)
Os (0.628, 0.872, 0.000)
Os (0.872, 0.372, 0.000)

Results
E_tot in eV/atom: -7.79
Energy of formation from the pure elements in eV/atom: 0.346
Polymorph energy (0 for the lowest one) in meV/atom: 19.1

Record 5
Density functional theory data (PBE) for a relaxed structure of KZrO2F.

Cell lengths 6.911, 3.275, 7.876 Å; angles 90.00, 108.62, 90.00 degrees
Fractional positions:
K (0.238, 0.250, 0.303)
K (0.762, 0.750, 0.697)
Zr (0.317, 0.750, 0.841)
Zr (0.683, 0.250, 0.159)
O (0.128, 0.250, 0.814)
O (0.449, 0.750, 0.119)
O (0.551, 0.250, 0.881)
O (0.872, 0.750, 0.186)
F (0.328, 0.750, 0.578)
F (0.672, 0.250, 0.422)

Results
E_tot in eV/atom: -7.32
ΔE_f (raw) in eV/atom: -3.0345

Record 6
Density functional theory data (PBE) for a relaxed structure of CeDyTm3.

Cell lengths 11.502, 11.502, 11.502 Å; angles 29.97, 29.97, 29.97 degrees
Fractional positions:
Ce (0.166, 0.166, 0.166)
Ce (0.834, 0.834, 0.834)
Dy (0.333, 0.333, 0.333)
Dy (0.667, 0.667, 0.667)
Tm (0.086, 0.751, 0.415)
Tm (0.249, 0.585, 0.914)
Tm (0.415, 0.086, 0.751)
Tm (0.585, 0.914, 0.249)
Tm (0.751, 0.415, 0.086)
Tm (0.914, 0.249, 0.585)

Results
E_tot in eV/atom: -4.37
Energy of formation from the pure elements in eV/atom: 0.420
Polymorph energy (0 for the lowest one) in meV/atom: 0.0

Record 7
Density functional theory data (PBE) for a relaxed structure of SrCa2Ga6.

Cell lengths 7.490, 7.490, 4.503 Å; angles 90.00, 90.00, 120.00 degrees
Fractional positions:
Sr (0.000, 0.000, 0.000)
Ca (0.333, 0.667, 0.000)
Ca (0.667, 0.333, 0.000)
Ga (0.000, 0.335, 0.500)
Ga (0.000, 0.665, 0.500)
Ga (0.335, 0.000, 0.500)
Ga (0.335, 0.335, 0.500)
Ga (0.665, 0.000, 0.500)
Ga (0.665, 0.665, 0.500)

Results
E_tot in eV/atom: -3.14
Energy of formation from the pure elements in eV/atom: -0.486
Polymorph energy (0 for the lowest one) in meV/atom: 0.0

Record 8
Density functional theory data (PBE) for a relaxed structure of AcPmGd2.

Cell lengths 3.630, 3.630, 38.452 Å; angles 90.00, 90.00, 120.00 degrees
Fractional positions:
Ac (0.000, 0.000, 0.000)
Ac (0.333, 0.667, 0.667)
Ac (0.667, 0.333, 0.333)
Pm (0.000, 0.000, 0.500)
Pm (0.333, 0.667, 0.167)
Pm (0.667, 0.333, 0.833)
Gd (0.000, 0.000, 0.092)
Gd (0.000, 0.000, 0.908)
Gd (0.333, 0.667, 0.575)
Gd (0.333, 0.667, 0.759)
Gd (0.667, 0.333, 0.241)
Gd (0.667, 0.333, 0.425)

Results
E_tot in eV/atom: -9.09
Energy of formation from the pure elements in eV/atom: 0.168
Polymorph energy (0 for the lowest one) in meV/atom: 133.5

Record 9
Density functional theory data (PBE) for a relaxed structure of MnNb3Se.

Cell lengths 4.636, 4.636, 4.636 Å; angles 90.00, 90.00, 90.00 degrees
Fractional positions:
Mn (0.000, 0.000, 0.000)
Nb (0.000, 0.000, 0.500)
Nb (0.000, 0.500, 0.000)
Nb (0.500, 0.000, 0.000)
Se (0.500, 0.500, 0.500)

Results
E_tot in eV/atom: -7.88
ΔE_f (raw) in eV/atom: 0.6960
Polymorph energy (0 for the lowest one) in meV/atom: 0.0

Record 10
Density functional theory data (PBE) for a relaxed structure of SrMg2I.

Cell lengths 8.431, 8.431, 8.431 Å; angles 90.00, 90.00, 90.00 degrees
Fractional positions:
Sr (0.000, 0.000, 0.000)
Sr (0.000, 0.500, 0.500)
Sr (0.500, 0.000, 0.500)
Sr (0.500, 0.500, 0.000)
Mg (0.250, 0.250, 0.250)
Mg (0.250, 0.250, 0.750)
Mg (0.250, 0.750, 0.250)
Mg (0.250, 0.750, 0.750)
Mg (0.750, 0.250, 0.250)
Mg (0.750, 0.250, 0.750)
Mg (0.750, 0.750, 0.250)
Mg (0.750, 0.750, 0.750)
I (0.000, 0.000, 0.500)
I (0.000, 0.500, 0.000)
I (0.500, 0.000, 0.000)
I (0.500, 0.500, 0.500)

Results
E_tot in eV/atom: -1.58
ΔE_f (raw) in eV/atom: 0.0266
Polymorph energy (0 for the lowest one) in meV/atom: 258.0

Record 11
Density functional theory data (PBE) for a relaxed structure of Ce2TeBr5.

Cell lengths 4.762, 9.252, 10.899 Å; angles 90.00, 90.00, 90.00 degrees
Fractional positions:
Ce (0.000, 0.000, 0.233)
Ce (0.000, 0.000, 0.767)
Ce (0.500, 0.500, 0.267)
Ce (0.500, 0.500, 0.733)
Te (0.000, 0.500, 0.500)
Te (0.500, 0.000, 0.000)
Br (0.000, 0.000, 0.500)
Br (0.000, 0.319, 0.165)
Br (0.000, 0.319, 0.835)
Br (0.000, 0.681, 0.165)
Br (0.000, 0.681, 0.835)
Br (0.500, 0.181, 0.335)
Br (0.500, 0.181, 0.665)
Br (0.500, 0.500, 0.000)
Br (0.500, 0.819, 0.335)
Br (0.500, 0.819, 0.665)

Results
E_tot in eV/atom: -4.35
ΔE_f (raw) in eV/atom: -1.4307

Record 12
Density functional theory data (PBE) for a relaxed structure of Zr2PtW.

Cell lengths 3.103, 3.703, 6.572 Å; angles 90.00, 90.00, 90.00 degrees
Fractional positions:
Zr (0.000, 0.000, 0.000)
Zr (0.500, 0.500, 0.287)
Pt (0.000, 0.000, 0.528)
W (0.500, 0.500, 0.756)

Results
E_tot in eV/atom: -9.14
Energy of formation from the pure elements in eV/atom: -0.121